[1]
The following is a PBE calculation of Zr6AgBi after structural relaxation, from Alexandria.

Cell: 7.8861 7.5942 5.1949 Å, 73.46 67.39 39.16°
Last column: nearest neighbours and their distance in Å.
Positions (direct):
Zr: 0.1249 0.1249 0.3751  8 Zr 3.10-3.41, 2 Bi 3.11, 2 Ag 3.11
Zr: 0.2487 0.2487 0.7513  10 Zr 3.10-3.35, 1 Ag 3.39, 1 Bi 3.42
Zr: 0.3751 0.3751 0.1249  8 Zr 3.10-3.41, 2 Bi 3.11, 2 Ag 3.11
Zr: 0.6249 0.6249 0.8751  8 Zr 3.10-3.41, 2 Bi 3.11, 2 Ag 3.11
Zr: 0.7513 0.7513 0.2487  10 Zr 3.10-3.35, 1 Ag 3.39, 1 Bi 3.42
Zr: 0.8751 0.8751 0.6249  8 Zr 3.10-3.41, 2 Bi 3.11, 2 Ag 3.11
Ag: 0.0000 0.0000 0.0000  10 Zr 3.11-3.39, 2 Bi 3.35
Bi: 0.5000 0.5000 0.5000  10 Zr 3.11-3.42, 2 Ag 3.35

Computed properties:
DFT formation energy, eV/atom: -0.11

***

[2]
The following is a PBE calculation of ZrAg2Bi after structural relaxation, from Alexandria.

Cell: 11.2466 11.2466 11.2466 Å, 16.07 16.07 16.07°
Last column: nearest neighbours and their distance in Å.
Positions (direct):
Zr: 0.0000 0.0000 0.0000  2 Ag 2.82, 6 Zr 3.14
Ag: 0.0848 0.0848 0.0848  1 Zr 2.82, 6 Ag 3.14
Ag: 0.9152 0.9152 0.9152  1 Zr 2.82, 6 Ag 3.14
Bi: 0.5000 0.5000 0.5000  6 Bi 3.14, 6 Ag 3.28

Computed properties:
DFT formation energy, eV/atom: 0.38

***

[3]
The following is a PBE calculation of Zr6AgBi3 after structural relaxation, from Alexandria.

Cell: 8.6788 8.6788 7.3842 Å, 90.00 90.00 114.80°
Last column: nearest neighbours and their distance in Å.
Positions (direct):
Zr: 0.0074 0.4345 0.0233  4 Zr 2.98-3.18, 3 Bi 3.01-3.22, 1 Ag 3.12
Zr: 0.0484 0.9516 0.5000  1 Ag 3.02, 4 Bi 3.13-3.15, 2 Zr 3.18
Zr: 0.2401 0.3816 0.3112  4 Bi 2.93-3.14, 2 Zr 3.06-3.10, 1 Ag 3.26
Zr: 0.2618 0.7382 0.2481  6 Zr 2.98-3.11, 3 Bi 3.01-3.03
Zr: 0.3816 0.2401 0.8112  4 Bi 2.93-3.14, 2 Zr 3.06-3.10, 1 Ag 3.26
Zr: 0.4345 0.0074 0.5233  4 Zr 2.98-3.18, 3 Bi 3.01-3.22, 1 Ag 3.12
Zr: 0.5655 0.9926 0.0233  4 Zr 2.98-3.18, 3 Bi 3.01-3.22, 1 Ag 3.12
Zr: 0.6184 0.7599 0.3112  4 Bi 2.93-3.14, 2 Zr 3.06-3.10, 1 Ag 3.26
Zr: 0.7382 0.2618 0.7481  6 Zr 2.98-3.11, 3 Bi 3.01-3.03
Zr: 0.7599 0.6184 0.8112  4 Bi 2.93-3.14, 2 Zr 3.06-3.10, 1 Ag 3.26
Zr: 0.9516 0.0484 0.0000  1 Ag 3.02, 4 Bi 3.13-3.15, 2 Zr 3.18
Zr: 0.9926 0.5655 0.5233  4 Zr 2.98-3.18, 3 Bi 3.01-3.22, 1 Ag 3.12
Ag: 0.1718 0.8282 0.8288  6 Zr 3.02-3.36, 2 Bi 3.30
Ag: 0.8282 0.1718 0.3288  6 Zr 3.02-3.36, 2 Bi 3.30
Bi: 0.0926 0.2984 0.6742  7 Zr 2.93-3.15
Bi: 0.2984 0.0926 0.1742  7 Zr 2.93-3.15
Bi: 0.4113 0.5887 0.9638  7 Zr 3.03-3.22
Bi: 0.5887 0.4113 0.4638  7 Zr 3.03-3.22
Bi: 0.7016 0.9074 0.6742  7 Zr 2.93-3.15
Bi: 0.9074 0.7016 0.1742  7 Zr 2.93-3.15

Computed properties:
DFT formation energy, eV/atom: -0.07

***

[4]
The following is a PBE calculation of ZrAg2Bi after structural relaxation, from Alexandria.

Cell: 6.3776 6.3776 6.3776 Å, 102.18 102.18 125.30°
Last column: nearest neighbours and their distance in Å.
Positions (direct):
Zr: 0.0000 0.0000 0.0000  4 Ag 2.93, 2 Bi 2.93
Zr: 0.7500 0.2500 0.5000  4 Ag 2.93, 2 Bi 2.93
Ag: 0.1257 0.6250 0.0007  2 Bi 2.92, 2 Zr 2.93, 2 Ag 2.93
Ag: 0.3750 0.3757 0.5007  2 Bi 2.92, 2 Zr 2.93, 2 Ag 2.93
Ag: 0.6243 0.1250 0.9993  2 Bi 2.92, 2 Zr 2.93, 2 Ag 2.93
Ag: 0.8750 0.8743 0.4993  2 Bi 2.92, 2 Zr 2.93, 2 Ag 2.93
Bi: 0.2500 0.7500 0.5000  4 Ag 2.92, 2 Zr 2.93
Bi: 0.5000 0.5000 0.0000  4 Ag 2.92, 2 Zr 2.93

Computed properties:
DFT formation energy, eV/atom: 0.19

***

[5]
The following is a PBE calculation of Zr2AgBi after structural relaxation, from Alexandria.

Cell: 6.3753 6.3753 6.3753 Å, 103.41 103.41 122.42°
Last column: nearest neighbours and their distance in Å.
Positions (direct):
Zr: 0.1125 0.6250 0.9875  2 Ag 2.83, 2 Bi 2.97, 2 Zr 3.08
Zr: 0.3750 0.3625 0.4875  2 Ag 2.83, 2 Bi 2.97, 2 Zr 3.08
Zr: 0.6375 0.1250 0.0125  2 Ag 2.83, 2 Bi 2.97, 2 Zr 3.08
Zr: 0.8750 0.8875 0.5125  2 Ag 2.83, 2 Bi 2.97, 2 Zr 3.08
Ag: 0.0000 0.0000 0.0000  4 Zr 2.83, 2 Bi 3.07
Ag: 0.7500 0.2500 0.5000  4 Zr 2.83, 2 Bi 3.07
Bi: 0.2500 0.7500 0.5000  4 Zr 2.97, 2 Ag 3.07
Bi: 0.5000 0.5000 0.0000  4 Zr 2.97, 2 Ag 3.07

Computed properties:
DFT formation energy, eV/atom: 0.10

***

[6]
The following is a PBE calculation of ZrAg2Bi after structural relaxation, from Alexandria.

Cell: 4.2642 4.2642 4.7273 Å, 90.00 90.00 90.00°
Last column: nearest neighbours and their distance in Å.
Positions (direct):
Zr: 0.0000 0.0000 0.0000  4 Bi 3.02, 8 Ag 3.18
Ag: 0.0000 0.5000 0.5000  4 Ag 3.02, 4 Zr 3.18, 4 Bi 3.18
Ag: 0.5000 0.0000 0.5000  4 Ag 3.02, 4 Zr 3.18, 4 Bi 3.18
Bi: 0.5000 0.5000 0.0000  4 Zr 3.02, 8 Ag 3.18

Computed properties:
DFT formation energy, eV/atom: -0.08

***

[7]
The following is a PBE calculation of Zr3AgBi after structural relaxation, from Alexandria.

Cell: 5.3996 5.3996 5.3996 Å, 90.00 90.00 90.00°
Last column: nearest neighbours and their distance in Å.
Positions (direct):
Zr: 0.0000 0.0000 0.5000  2 Bi 2.70
Zr: 0.0000 0.5000 0.0000  2 Bi 2.70
Zr: 0.5000 0.0000 0.0000  2 Bi 2.70
Ag: 0.5000 0.5000 0.5000  12 Zr 3.82
Bi: 0.0000 0.0000 0.0000  6 Zr 2.70

Computed properties:
DFT formation energy, eV/atom: 1.12

***

[8]
The following is a PBE calculation of ZrAgBi after structural relaxation, from Alexandria.

Cell: 15.5887 3.3104 3.3104 Å, 58.92 90.00 90.00°
Last column: nearest neighbours and their distance in Å.
Positions (direct):
Zr: 0.0000 0.0000 0.0000  6 Ag 3.01-3.03, 6 Zr 3.26-3.31
Zr: 0.5000 0.1216 0.1216  6 Bi 3.17-3.22, 6 Zr 3.26-3.31
Ag: 0.1503 0.3335 0.3335  3 Zr 3.01-3.03, 6 Ag 3.26-3.31, 2 Bi 3.31
Ag: 0.8497 0.3335 0.3335  3 Zr 3.01-3.03, 6 Ag 3.26-3.31, 2 Bi 3.31
Bi: 0.3347 0.8004 0.8004  3 Zr 3.17-3.22, 6 Bi 3.26-3.31, 2 Ag 3.31
Bi: 0.6653 0.8004 0.8004  3 Zr 3.17-3.22, 6 Bi 3.26-3.31, 2 Ag 3.31

Computed properties:
DFT formation energy, eV/atom: 0.03

***

[9]
The following is a PBE calculation of Zr2Ag2Bi after structural relaxation, from Alexandria.

Cell: 7.2514 7.2514 7.2514 Å, 145.68 145.68 49.32°
Last column: nearest neighbours and their distance in Å.
Positions (direct):
Zr: 0.2500 0.7500 0.5000  4 Ag 2.91, 4 Zr 3.03
Zr: 0.7500 0.2500 0.5000  4 Ag 2.91, 4 Zr 3.03
Ag: 0.1005 0.1005 0.0000  1 Ag 2.65, 4 Zr 2.91
Ag: 0.8995 0.8995 0.0000  1 Ag 2.65, 4 Zr 2.91
Bi: 0.5000 0.5000 0.0000  8 Ag 3.30

Computed properties:
DFT formation energy, eV/atom: 0.20

***

[10]
The following is a PBE calculation of Zr2Ag2Bi after structural relaxation, from Alexandria.

Cell: 8.1466 8.1466 3.4516 Å, 90.00 90.00 90.00°
Last column: nearest neighbours and their distance in Å.
Positions (direct):
Zr: 0.1654 0.3346 0.0000  6 Ag 2.94-2.96, 2 Bi 3.04
Zr: 0.3346 0.8346 0.0000  6 Ag 2.94-2.96, 2 Bi 3.04
Zr: 0.6654 0.1654 0.0000  6 Ag 2.94-2.96, 2 Bi 3.04
Zr: 0.8346 0.6654 0.0000  6 Ag 2.94-2.96, 2 Bi 3.04
Ag: 0.1279 0.6279 0.5000  6 Zr 2.94-2.96, 1 Ag 2.95
Ag: 0.3721 0.1279 0.5000  6 Zr 2.94-2.96, 1 Ag 2.95
Ag: 0.6279 0.8721 0.5000  6 Zr 2.94-2.96, 1 Ag 2.95
Ag: 0.8721 0.3721 0.5000  6 Zr 2.94-2.96, 1 Ag 2.95
Bi: 0.0000 0.0000 0.0000  4 Zr 3.04
Bi: 0.5000 0.5000 0.0000  4 Zr 3.04

Computed properties:
DFT formation energy, eV/atom: 0.12

***

[11]
The following is a PBE calculation of ZrAg2Bi2 after structural relaxation, from Alexandria.

Cell: 7.7455 7.7455 3.9959 Å, 90.00 90.00 90.00°
Last column: nearest neighbours and their distance in Å.
Positions (direct):
Zr: 0.0000 0.0000 0.0000  4 Ag 3.07
Zr: 0.5000 0.5000 0.0000  4 Ag 3.07
Ag: 0.1237 0.3763 0.0000  1 Ag 2.71, 2 Bi 2.92
Ag: 0.3763 0.8763 0.0000  1 Ag 2.71, 2 Bi 2.92
Ag: 0.6237 0.1237 0.0000  1 Ag 2.71, 2 Bi 2.92
Ag: 0.8763 0.6237 0.0000  1 Ag 2.71, 2 Bi 2.92
Bi: 0.1814 0.6814 0.5000  6 Ag 2.92-3.13
Bi: 0.3186 0.1814 0.5000  6 Ag 2.92-3.13
Bi: 0.6814 0.8186 0.5000  6 Ag 2.92-3.13
Bi: 0.8186 0.3186 0.5000  6 Ag 2.92-3.13

Computed properties:
DFT formation energy, eV/atom: 0.10

***

[12]
The following is a PBE calculation of ZrAg2Bi2 after structural relaxation, from Alexandria.

Cell: 8.6536 8.6536 8.6536 Å, 154.06 154.06 37.02°
Last column: nearest neighbours and their distance in Å.
Positions (direct):
Zr: 0.0000 0.0000 0.0000  8 Bi 3.20
Ag: 0.2500 0.7500 0.5000  4 Ag 2.75
Ag: 0.7500 0.2500 0.5000  4 Ag 2.75
Bi: 0.3996 0.3996 0.0000  4 Ag 3.13, 4 Zr 3.20, 1 Bi 3.30
Bi: 0.6004 0.6004 0.0000  4 Ag 3.13, 4 Zr 3.20, 1 Bi 3.30

Computed properties:
DFT formation energy, eV/atom: 0.06

***

[13]
The following is a PBE calculation of Zr2AgBi after structural relaxation, from Alexandria.

Cell: 3.7760 3.7760 6.2864 Å, 90.00 90.00 90.00°
Last column: nearest neighbours and their distance in Å.
Positions (direct):
Zr: 0.0000 0.0000 0.2452  4 Ag 3.08, 2 Zr 3.08-3.20, 4 Bi 3.11
Zr: 0.0000 0.0000 0.7548  4 Ag 3.08, 2 Zr 3.08-3.20, 4 Bi 3.11
Ag: 0.5000 0.5000 0.0000  8 Zr 3.08, 2 Bi 3.14
Bi: 0.5000 0.5000 0.5000  8 Zr 3.11, 2 Ag 3.14

Computed properties:
DFT formation energy, eV/atom: -0.13

***

[14]
The following is a PBE calculation of Zr2AgBi after structural relaxation, from Alexandria.

Cell: 4.5067 4.5067 4.3612 Å, 90.00 90.00 90.00°
Last column: nearest neighbours and their distance in Å.
Positions (direct):
Zr: 0.0000 0.5000 0.0000  4 Bi 3.14, 4 Ag 3.14, 4 Zr 3.19
Zr: 0.5000 0.0000 0.0000  4 Bi 3.14, 4 Ag 3.14, 4 Zr 3.19
Ag: 0.0000 0.0000 0.5000  8 Zr 3.14, 4 Bi 3.19
Bi: 0.5000 0.5000 0.5000  8 Zr 3.14, 4 Ag 3.19

Computed properties:
DFT formation energy, eV/atom: -0.16

***

[15]
The following is a PBE calculation of Zr2AgBi4 after structural relaxation, from Alexandria.

Cell: 8.0751 8.0751 6.8113 Å, 114.62 114.62 29.81°
Last column: nearest neighbours and their distance in Å.
Positions (direct):
Zr: 0.2407 0.2407 0.2530  6 Bi 2.97-3.06
Zr: 0.7593 0.7593 0.7470  6 Bi 2.97-3.06
Ag: 0.0000 0.0000 0.0000  6 Bi 2.94-2.96
Bi: 0.1115 0.1115 0.4791  1 Ag 2.96, 3 Zr 3.02-3.06
Bi: 0.3836 0.3836 0.0738  2 Ag 2.94, 3 Zr 2.97-3.05
Bi: 0.6164 0.6164 0.9262  2 Ag 2.94, 3 Zr 2.97-3.05
Bi: 0.8885 0.8885 0.5209  1 Ag 2.96, 3 Zr 3.02-3.06

Computed properties:
DFT formation energy, eV/atom: -0.04

***

[16]
The following is a PBE calculation of AgBr5 after structural relaxation, from Alexandria.

Cell: 8.6996 6.6062 6.6062 Å, 34.26 90.00 90.00°
Last column: nearest neighbours and their distance in Å.
Positions (direct):
Ag: 0.0000 0.0000 0.0000  4 Br 2.61
Br: 0.0000 0.3619 0.3619  2 Ag 2.61
Br: 0.0000 0.6380 0.6380  2 Ag 2.61
Br: 0.5000 0.1892 0.1892  4 Br 2.86-2.87
Br: 0.5000 0.5224 0.5224  4 Br 2.87
Br: 0.5000 0.8553 0.8553  4 Br 2.86-2.87

Computed properties:
Energy relative to the elements, uncorrected, eV/atom: 0.01

***

[17]
The following is a PBE calculation of Ag5Br after structural relaxation, from Alexandria.

Cell: 4.0190 8.1104 8.1104 Å, 28.88 90.00 90.00°
Last column: nearest neighbours and their distance in Å.
Positions (direct):
Ag: 0.0000 0.0000 0.0000  8 Ag 2.85-2.89, 2 Br 3.12
Ag: 0.0000 0.2626 0.2626  4 Ag 2.86-2.88, 4 Br 3.15
Ag: 0.0000 0.6318 0.6318  10 Ag 2.85-2.96
Ag: 0.5000 0.1327 0.1327  10 Ag 2.85-2.98
Ag: 0.5000 0.4936 0.4936  8 Ag 2.85-2.98, 2 Br 3.05
Br: 0.5000 0.8480 0.8480  8 Ag 3.05-3.15

Computed properties:
Energy relative to the elements, uncorrected, eV/atom: 0.08

***

[18]
The following is a PBE calculation of Ag5Br after structural relaxation, from Alexandria.

Cell: 5.6394 5.6394 4.7344 Å, 90.00 90.00 120.00°
Last column: nearest neighbours and their distance in Å.
Positions (direct):
Ag: 0.0000 0.5000 0.0000  8 Ag 2.82-2.87
Ag: 0.3333 0.6667 0.5000  6 Ag 2.87
Ag: 0.5000 0.0000 0.0000  8 Ag 2.82-2.87
Ag: 0.5000 0.5000 0.0000  8 Ag 2.82-2.87
Ag: 0.6667 0.3333 0.5000  6 Ag 2.87
Br: 0.0000 0.0000 0.5000  6 Ag 3.26

Computed properties:
Energy relative to the elements, uncorrected, eV/atom: 0.11

***

[19]
The following is a PBE calculation of Ag5Br7 after structural relaxation, from Alexandria.

Cell: 3.9439 7.0500 13.1935 Å, 85.71 88.53 75.08°
Last column: nearest neighbours and their distance in Å.
Positions (direct):
Ag: 0.0000 0.0000 0.0000  4 Br 2.65-2.81
Ag: 0.2898 0.4493 0.1474  5 Br 2.70-2.96
Ag: 0.3708 0.2587 0.5537  4 Br 2.68-2.79
Ag: 0.6292 0.7413 0.4463  4 Br 2.68-2.79
Ag: 0.7102 0.5507 0.8526  5 Br 2.70-2.96
Br: 0.0000 0.0000 0.5000  4 Ag 2.75-2.79
Br: 0.0949 0.8247 0.8272  3 Ag 2.65-2.74
Br: 0.2351 0.5341 0.3647  3 Ag 2.68-2.96
Br: 0.3215 0.2855 0.9109  3 Ag 2.73-2.81
Br: 0.6785 0.7145 0.0891  3 Ag 2.73-2.81
Br: 0.7649 0.4659 0.6353  3 Ag 2.68-2.96
Br: 0.9051 0.1753 0.1728  3 Ag 2.65-2.74

Computed properties:
Energy relative to the elements, uncorrected, eV/atom: -0.27

***

[20]
The following is a PBE calculation of AgBr5 after structural relaxation, from Alexandria.

Cell: 7.1202 7.1202 3.9352 Å, 90.00 90.00 120.00°
Last column: nearest neighbours and their distance in Å.
Positions (direct):
Ag: 0.0000 0.0000 0.0000  6 Br 2.80
Br: 0.0000 0.7206 0.5000  2 Ag 2.80
Br: 0.2794 0.2794 0.5000  2 Ag 2.80
Br: 0.3333 0.6667 0.0000  6 Br 3.25
Br: 0.6667 0.3333 0.0000  6 Br 3.25
Br: 0.7206 0.0000 0.5000  2 Ag 2.80

Computed properties:
Energy relative to the elements, uncorrected, eV/atom: 0.31

***

Results for density of states at the Fermi level: 8.725 2.746 10.173 3.826 3.931 2.074 4.841 2.046 4.149 5.687 1.805 2.368 1.062 2.888 5.323 4.515 1.588 1.309 9.737 10.207 (in states/eV/f.u., following the order of the records).
Results for magnetization: 0.00 0.00 0.00 0.00 0.00 0.00 0.00 0.00 0.00 0.00 0.00 0.00 0.00 0.00 0.00 0.00 0.00 0.00 0.00 0.00 (in Bohr magnetons per cell, following the order of the records).